Compound: PmAgGe2O6
Source: the Alexandria database
Functional: PBE
Structure: optimized geometry

Cell and atoms, written as POSCAR:
```
PmAgGe2O6
1.0
5.254 -0.325 -0.337
1.284 7.412 0.075
1.284 -0.199 7.410
O Pm Ge Ag
12 2 4 2
Cartesian
3.456 5.929 2.989 O
4.732 -0.144 1.474 O
6.083 2.605 5.867 O
1.468 2.000 2.970 O
1.739 4.283 1.281 O
5.717 5.247 7.068 O
3.726 4.157 5.208 O
4.366 0.959 4.159 O
6.353 4.888 4.179 O
2.105 1.641 0.080 O
3.089 7.032 5.674 O
4.095 2.731 1.941 O
5.224 5.102 1.814 Pm
2.597 1.786 5.335 Pm
4.949 1.209 2.562 Ge
2.873 5.679 4.586 Ge
2.322 2.678 1.471 Ge
5.500 4.210 5.677 Ge
5.224 0.216 6.522 Ag
2.597 6.672 0.626 Ag
```

Properties
Theoretical density (g cm⁻³): 5.56
Raw formation energy (kcal/mol of atoms): -42.45